The following is a SCAN calculation of HfI2NF at its PBEsol-relaxed geometry, from Alexandria.

Calculated values
magnetic moment = 2.008 μB/cell
raw total energy = -30.1039 eV/atom

Unit cell a=4.0430 b=5.5854 c=5.5854 alpha=90.00 beta=90.00 gamma=90.00
Last column: nearest neighbours and their distance in Å.
Element x y z (fractional)
N  0.5000  0.0000  0.0000  2 Hf 2.02
F  0.5000  0.5000  0.5000  8 I 3.45
I  0.0000  0.5000  0.0000  2 Hf 2.79
I  0.0000  0.0000  0.5000  2 Hf 2.79
Hf  0.0000  0.0000  0.0000  2 N 2.02


The following is a SCAN calculation of MnF3 at its PBEsol-relaxed geometry, from Alexandria.

Calculated values
magnetic moment = 40.000 μB/cell
raw total energy = -10.0288 eV/atom

Unit cell a=3.8168 b=12.2130 c=12.2130 alpha=90.00 beta=90.00 gamma=90.00
Last column: nearest neighbours and their distance in Å.
Element x y z (fractional)
F  0.5000  0.5017  0.8452  2 Mn 1.89-1.92
F  0.0000  0.2076  0.0778  2 Mn 1.91
F  0.5000  0.1416  0.9343  2 Mn 1.90-1.92
F  0.5000  0.7151  0.7849  2 Mn 1.94
F  0.5000  0.9983  0.3452  2 Mn 1.89-1.92
F  0.5000  0.2849  0.2151  2 Mn 1.94
F  0.0000  0.0000  0.5000  2 Mn 1.91
F  0.5000  0.4343  0.6416  2 Mn 1.90-1.92
F  0.5000  0.3452  0.0017  2 Mn 1.89-1.92
F  0.0000  0.7076  0.4222  2 Mn 1.91
F  0.5000  0.6548  0.9983  2 Mn 1.89-1.92
F  0.0000  0.2924  0.5778  2 Mn 1.91
F  0.0000  0.5000  0.0000  2 Mn 1.91
F  0.0000  0.0778  0.7924  2 Mn 1.91
F  0.5000  0.5657  0.3584  2 Mn 1.90-1.92
F  0.0000  0.4222  0.2924  2 Mn 1.91
F  0.5000  0.2151  0.7151  2 Mn 1.94
F  0.5000  0.1548  0.5017  2 Mn 1.89-1.92
F  0.0000  0.7924  0.9222  2 Mn 1.91
F  0.0000  0.5778  0.7076  2 Mn 1.91
F  0.5000  0.0657  0.1416  2 Mn 1.90-1.92
F  0.5000  0.4983  0.1548  2 Mn 1.89-1.92
F  0.0000  0.9222  0.2076  2 Mn 1.91
F  0.5000  0.3584  0.4343  2 Mn 1.90-1.92
F  0.5000  0.7849  0.2849  2 Mn 1.94
F  0.5000  0.0017  0.6548  2 Mn 1.89-1.92
F  0.5000  0.6416  0.5657  2 Mn 1.90-1.92
F  0.5000  0.9343  0.8584  2 Mn 1.90-1.92
F  0.5000  0.8452  0.4983  2 Mn 1.89-1.92
F  0.5000  0.8584  0.0657  2 Mn 1.90-1.92
Mn  0.5000  0.5769  0.7073  6 F 1.90-1.94
Mn  0.5000  0.2927  0.5769  6 F 1.90-1.94
Mn  0.5000  0.5000  0.0000  6 F 1.89-1.91
Mn  0.5000  0.7927  0.9231  6 F 1.90-1.94
Mn  0.5000  0.7073  0.4231  6 F 1.90-1.94
Mn  0.5000  0.0769  0.7927  6 F 1.90-1.94
Mn  0.5000  0.9231  0.2073  6 F 1.90-1.94
Mn  0.5000  0.2073  0.0769  6 F 1.90-1.94
Mn  0.5000  0.4231  0.2927  6 F 1.90-1.94
Mn  0.5000  0.0000  0.5000  6 F 1.89-1.91


The following is a SCAN calculation of Cr2Rh at its PBEsol-relaxed geometry, from Alexandria.

Calculated values
magnetic moment = 0.000 μB/cell
energy relative to the elements = -0.044 eV/atom

Unit cell a=4.6582 b=4.6582 c=4.6582 alpha=60.00 beta=60.00 gamma=60.00
Last column: nearest neighbours and their distance in Å.
Element x y z (fractional)
Rh  0.7500  0.7500  0.7500  12 Cr 2.73, 4 Rh 2.85
Rh  0.5000  0.5000  0.5000  12 Cr 2.73, 4 Rh 2.85
Cr  0.1250  0.6250  0.1250  6 Cr 2.33
Cr  0.1250  0.1250  0.6250  6 Cr 2.33
Cr  0.1250  0.1250  0.1250  6 Cr 2.33
Cr  0.6250  0.1250  0.1250  6 Cr 2.33


The following is a SCAN calculation of Y3TlNi at its PBEsol-relaxed geometry, from Alexandria.

Calculated values
magnetic moment = 0.032 μB/cell
energy relative to the elements = 0.673 eV/atom

Unit cell a=5.5704 b=5.5704 c=5.5704 alpha=90.00 beta=90.00 gamma=90.00
Last column: nearest neighbours and their distance in Å.
Element x y z (fractional)
Y  0.0000  0.5000  0.0000  2 Tl 2.79
Y  0.0000  0.0000  0.5000  2 Tl 2.79
Y  0.5000  0.0000  0.0000  2 Tl 2.79
Tl  0.0000  0.0000  0.0000  6 Y 2.79
Ni  0.5000  0.5000  0.5000  12 Y 3.94


The following is a SCAN calculation of Mg2HgIr at its PBEsol-relaxed geometry, from Alexandria.

Calculated values
relative energy among the computed polymorphs = 86.7 meV/atom
magnetic moment = 0.002 μB/cell
energy relative to the elements = -0.343 eV/atom

Unit cell a=3.2003 b=4.5814 c=4.5815 alpha=90.00 beta=90.00 gamma=90.00
Last column: nearest neighbours and their distance in Å.
Element x y z (fractional)
Mg  0.0000  0.0000  0.1235  4 Hg 2.79-2.80, 4 Ir 2.79
Mg  0.0000  0.5000  0.6268  4 Ir 2.79, 4 Hg 2.79
Ir  0.5000  0.5000  0.1268  8 Mg 2.79
Hg  0.5000  0.0000  0.6229  8 Mg 2.79-2.80


The following is a SCAN calculation of ScTi3Hg at its PBEsol-relaxed geometry, from Alexandria.

Calculated values
magnetic moment = 3.143 μB/cell
energy relative to the elements = 1.158 eV/atom

Unit cell a=4.6014 b=4.6014 c=4.6014 alpha=90.00 beta=90.00 gamma=90.00
Last column: nearest neighbours and their distance in Å.
Element x y z (fractional)
Sc  0.0000  0.0000  0.0000  6 Ti 2.30
Hg  0.5000  0.5000  0.5000  12 Ti 3.25
Ti  0.0000  0.0000  0.5000  2 Sc 2.30
Ti  0.5000  0.0000  0.0000  2 Sc 2.30
Ti  0.0000  0.5000  0.0000  2 Sc 2.30


The lowest magnetic moment belongs to which entry?
Cr2Rh


Among the records above, which one has the lowest magnetic moment?
Cr2Rh


Look up the magnetic moment of the sixth one.
3.143 μB/cell